(one)
Computed, not measured: a geometry-optimized Pm6Er3Sc2 structure at the PBE level of DFT.

```
11
Lattice="4.747 0.000 0.000 0.000 4.747 0.000 -2.374 -2.374 16.142" Properties=species:S:1:pos:R:3 pbc="T T T"
Pm 0.000 2.374 3.717
Pm 0.000 2.374 12.425
Pm 2.374 0.000 12.425
Pm 2.374 0.000 3.717
Pm 0.000 0.000 9.750
Pm 2.374 2.374 6.392
Er 0.000 0.000 6.326
Er 2.374 2.374 9.816
Er 0.000 0.000 0.000
Sc 0.000 0.000 14.755
Sc 2.374 2.374 1.387
```

Properties
N(E_F) ... 16.8 states/eV/f.u.
Calculated volume ... 363.8 Å³ per cell
Magnetization ... 0.00 μB/f.u.
Symmetry ... I4/mmm

***

(two)
Computed, not measured: a geometry-optimized Pm6Er3Sc2 structure at the PBE level of DFT.

```
11
Lattice="-2.911 -5.977 -1.105 3.545 2.265 -4.407 4.941 -10.328 2.438" Properties=species:S:1:pos:R:3 pbc="T T T"
Pm -0.019 -6.219 -2.878
Pm 2.585 -8.734 -1.927
Pm 3.453 -2.944 -3.761
Pm 5.594 -7.821 -0.196
Pm 2.121 -11.096 0.687
Pm 2.990 -5.306 -1.147
Er -0.475 -8.589 -0.132
Er 6.049 -5.451 -2.942
Er 0.000 0.000 0.000
Sc 0.448 -2.958 -1.728
Sc 5.127 -11.082 -1.346
```

Properties
N(E_F) ... 19.1 states/eV/f.u.
Calculated volume ... 351.0 Å³ per cell
Magnetization ... 0.00 μB/f.u.
Symmetry ... P-1

***

Most stable structure - (two); separation to the second - 0.221 eV/atom.

***

(one)
Computed, not measured: a geometry-optimized Pm2ErSc structure at the PBE level of DFT.

```
4
Lattice="-1.323 -1.163 4.546 2.676 -4.234 -0.304 4.021 2.412 1.787" Properties=species:S:1:pos:R:3 pbc="T T T"
Pm 2.010 1.206 0.894
Pm 1.338 -2.117 -0.152
Er 2.687 -1.492 3.015
Sc -0.662 -0.581 2.273
```

Properties
N(E_F) ... 6.0 states/eV/f.u.
Calculated volume ... 122.8 Å³ per cell
Magnetization ... 0.00 μB/f.u.
Symmetry ... P4/mmm

***

(two)
Computed, not measured: a geometry-optimized Pm2ErSc structure at the PBE level of DFT.

```
4
Lattice="5.593 0.000 0.000 2.797 4.844 0.000 2.797 1.615 4.567" Properties=species:S:1:pos:R:3 pbc="T T T"
Er 0.000 0.000 0.000
Sc 5.593 3.229 2.283
Pm 2.797 1.615 1.142
Pm 8.390 4.844 3.425
```

Properties
N(E_F) ... 6.0 states/eV/f.u.
Calculated volume ... 123.7 Å³ per cell
Magnetization ... 0.00 μB/f.u.
Symmetry ... Fm-3m

***

(three)
Computed, not measured: a geometry-optimized Pm2ErSc structure at the PBE level of DFT.

```
8
Lattice="3.374 0.000 0.000 0.000 5.675 0.000 0.000 0.000 13.025" Properties=species:S:1:pos:R:3 pbc="T T T"
Er 1.687 0.000 7.414
Er 0.000 2.838 5.611
Pm 1.687 0.000 4.020
Pm 0.000 0.000 10.596
Pm 0.000 2.838 9.005
Pm 1.687 2.838 2.428
Sc 0.000 2.838 12.493
Sc 1.687 0.000 0.531
```

Properties
N(E_F) ... 8.5 states/eV/f.u.
Calculated volume ... 249.4 Å³ per cell
Magnetization ... 0.06 μB/f.u.
Symmetry ... Pmmn

***

Most stable structure - (one); separation to the second - 0.057 eV/atom.

***

(one)
Computed, not measured: a geometry-optimized Pm2ErSc structure at the PBE level of DFT.

```
4
Lattice="-1.070 2.715 1.993 -2.330 2.326 -1.285 -9.631 -4.614 4.251" Properties=species:S:1:pos:R:3 pbc="T T T"
Pm -9.842 0.268 3.752
Pm -3.188 0.158 1.207
Sc 0.000 0.000 0.000
Er -6.515 0.213 2.479
```

Properties
N(E_F) ... 4.6 states/eV/f.u.
Calculated volume ... 122.3 Å³ per cell
Magnetization ... 0.00 μB/f.u.
Symmetry ... R-3m

***

(two)
Computed, not measured: a geometry-optimized Pm2ErSc structure at the PBE level of DFT.

```
4
Lattice="-1.658 1.164 -2.905 -3.456 0.766 0.121 0.770 11.349 1.948" Properties=species:S:1:pos:R:3 pbc="T T T"
Er -2.642 12.621 0.088
Sc -2.171 6.643 -0.417
Pm 0.131 8.585 1.206
Pm -1.063 3.420 -0.182
```

Properties
N(E_F) ... 6.3 states/eV/f.u.
Calculated volume ... 123.4 Å³ per cell
Magnetization ... 0.00 μB/f.u.
Symmetry ... R3m

***

Most stable structure - (one); separation to the second - 0.007 eV/atom.

***

(one)
Computed, not measured: a geometry-optimized Pm3Er4Sc structure at the PBE level of DFT.

```
16
Lattice="6.213 0.000 0.000 0.000 7.225 0.000 0.000 0.000 11.234" Properties=species:S:1:pos:R:3 pbc="T T T"
Er 0.909 6.336 5.617
Er 3.009 6.328 8.368
Er 4.039 0.895 5.617
Er 3.009 6.328 2.866
Er 6.116 0.897 8.483
Er 0.932 6.330 0.000
Er 6.116 0.897 2.751
Er 4.015 0.889 0.000
Pm 2.978 2.716 2.807
Pm 4.021 4.525 0.000
Pm 6.085 4.509 8.424
Pm 6.085 4.509 2.810
Pm 2.978 2.716 8.427
Pm 0.915 2.700 5.617
Sc 4.003 4.551 5.617
Sc 0.896 2.674 0.000
```

Properties
N(E_F) ... 13.7 states/eV/f.u.
Calculated volume ... 504.3 Å³ per cell
Magnetization ... 0.00 μB/f.u.
Symmetry ... Pmn2_1

***

(two)
Computed, not measured: a geometry-optimized Pm3Er4Sc structure at the PBE level of DFT.

```
8
Lattice="-1.864 -2.396 -1.673 6.351 1.658 -9.489 1.716 -4.251 7.420" Properties=species:S:1:pos:R:3 pbc="T T T"
Sc -0.932 -1.198 -0.837
Pm 4.306 -2.761 -4.621
Pm 1.897 -2.228 0.878
Pm 3.176 0.829 -4.745
Er 4.571 -2.916 -1.070
Er 4.912 -1.217 -7.567
Er 1.292 -3.772 3.825
Er 1.632 -2.073 -2.673
```

Properties
N(E_F) ... 11.9 states/eV/f.u.
Calculated volume ... 254.1 Å³ per cell
Magnetization ... 0.00 μB/f.u.
Symmetry ... P-1

***

Most stable structure - (one); separation to the second - 0.107 eV/atom.

***

(one)
Computed, not measured: a geometry-optimized Pm2Er3Sc structure at the PBE level of DFT.

```
12
Lattice="-2.757 -0.815 1.885 3.683 -5.097 6.320 1.812 8.458 9.441" Properties=species:S:1:pos:R:3 pbc="T T T"
Pm -0.242 3.135 7.271
Pm 1.098 4.294 12.866
Pm 1.641 -1.748 4.779
Pm 2.981 -0.589 10.375
Sc 0.990 -0.042 7.700
Sc 1.748 2.588 9.945
Er 0.912 -3.387 9.275
Er 3.165 3.518 15.555
Er 0.497 1.326 4.435
Er -0.427 -0.972 2.091
Er 1.826 5.932 8.371
Er 2.241 1.220 13.211
```

Properties
N(E_F) ... 10.2 states/eV/f.u.
Calculated volume ... 375.2 Å³ per cell
Magnetization ... 0.01 μB/f.u.
Symmetry ... C2/m

***

(two)
Computed, not measured: a geometry-optimized Pm2Er3Sc structure at the PBE level of DFT.

```
12
Lattice="-0.525 3.170 -4.633 7.352 -0.705 -1.315 -4.966 -8.491 -1.816" Properties=species:S:1:pos:R:3 pbc="T T T"
Er 5.065 -2.625 -2.370
Er 1.390 -2.272 -1.712
Er 1.575 1.409 -2.645
Er 0.471 -3.754 -6.052
Er 5.251 1.056 -3.303
Er -3.205 -3.402 -5.395
Pm 2.856 -1.374 -4.695
Pm -0.995 -4.652 -3.070
Pm -0.820 -1.022 -4.036
Pm 2.681 -5.004 -3.728
Sc 3.676 -0.352 -0.658
Sc 0.000 0.000 0.000
```

Properties
N(E_F) ... 10.0 states/eV/f.u.
Calculated volume ... 373.7 Å³ per cell
Magnetization ... 0.00 μB/f.u.
Symmetry ... Cmmm

***

Most stable structure - (two); separation to the second - 0.058 eV/atom.

***

(one)
Computed, not measured: a geometry-optimized Pm2Er4Sc3 structure at the PBE level of DFT.

```
18
Lattice="6.003 0.012 0.383 0.505 9.009 3.301 0.122 -0.363 9.601" Properties=species:S:1:pos:R:3 pbc="T T T"
Pm 5.126 1.951 6.160
Pm 4.395 3.989 9.148
Pm 1.505 6.707 7.126
Pm 2.236 4.669 4.138
Er 1.332 4.901 10.176
Er 0.482 7.284 3.537
Er 5.298 3.757 3.110
Er 4.439 7.499 8.625
Er 3.206 0.510 8.285
Er 2.191 1.159 4.661
Er 6.148 1.374 9.749
Er 3.424 8.148 5.001
Sc 1.088 8.149 10.168
Sc 1.775 3.366 7.192
Sc 4.013 6.285 11.617
Sc 4.855 5.292 6.094
Sc 2.617 2.373 1.669
Sc 5.542 0.509 3.117
```

Properties
N(E_F) ... 12.6 states/eV/f.u.
Calculated volume ... 525.9 Å³ per cell
Magnetization ... 0.00 μB/f.u.
Symmetry ... C2/c

***

(two)
Computed, not measured: a geometry-optimized Pm2Er4Sc3 structure at the PBE level of DFT.

```
9
Lattice="-2.304 -2.434 -0.977 3.365 -0.840 0.392 -4.261 -5.720 24.303" Properties=species:S:1:pos:R:3 pbc="T T T"
Sc -4.181 -5.612 23.846
Sc -1.400 -1.879 7.984
Sc -3.184 -5.621 15.280
Er -3.214 -4.314 18.329
Er -2.259 -4.379 10.002
Er -1.376 -3.194 4.967
Er -2.325 -3.121 13.260
Pm -0.786 -2.401 1.598
Pm -4.128 -6.888 20.663
```

Properties
N(E_F) ... 13.8 states/eV/f.u.
Calculated volume ... 267.3 Å³ per cell
Magnetization ... 0.00 μB/f.u.
Symmetry ... P3m1

***

Most stable structure - (two); separation to the second - 0.050 eV/atom.

***

(one)
Computed, not measured: a geometry-optimized Pm4ErSc3 structure at the PBE level of DFT.

```
8
Lattice="-3.075 -0.633 -1.466 0.672 -5.528 0.975 -5.733 11.901 10.986" Properties=species:S:1:pos:R:3 pbc="T T T"
Pm -2.403 -2.821 2.164
Pm -5.732 8.562 8.331
Pm -3.826 0.215 3.840
Pm -4.309 5.526 6.656
Sc -5.316 2.378 6.033
Sc -2.819 3.363 4.463
Sc 0.336 -2.764 0.487
Er -1.537 -0.316 -0.733
```

Properties
N(E_F) ... 14.6 states/eV/f.u.
Calculated volume ... 265.4 Å³ per cell
Magnetization ... 0.00 μB/f.u.
Symmetry ... C2/m

***

(two)
Computed, not measured: a geometry-optimized Pm4ErSc3 structure at the PBE level of DFT.

```
16
Lattice="6.081 0.000 0.000 0.000 7.151 0.000 0.000 0.000 11.120" Properties=species:S:1:pos:R:3 pbc="T T T"
Pm 1.579 4.546 0.000
Pm 4.706 6.333 5.560
Pm 0.687 2.624 2.834
Pm 4.620 2.605 5.560
Pm 1.665 0.818 0.000
Pm 3.727 4.527 2.726
Pm 3.727 4.527 8.394
Pm 0.687 2.624 8.286
Sc 3.687 0.831 2.740
Sc 1.675 0.836 5.560
Sc 4.716 6.315 0.000
Sc 0.647 6.320 2.820
Sc 0.647 6.320 8.300
Sc 3.687 0.831 8.380
Er 4.668 2.621 0.000
Er 1.627 4.530 5.560
```

Properties
N(E_F) ... 14.0 states/eV/f.u.
Calculated volume ... 483.6 Å³ per cell
Magnetization ... 0.00 μB/f.u.
Symmetry ... Pmn2_1

***

Most stable structure - (two); separation to the second - 0.252 eV/atom.

***

(one)
Computed, not measured: a geometry-optimized Pm5Er4Sc2 structure at the PBE level of DFT.

```
11
Lattice="3.446 0.000 0.000 0.000 11.241 0.000 -1.723 -5.620 9.304" Properties=species:S:1:pos:R:3 pbc="T T T"
Er 1.723 5.620 1.657
Er 0.000 3.087 0.000
Er 0.000 0.000 7.647
Er 0.000 8.154 0.000
Pm 1.723 2.430 6.014
Pm 0.000 8.050 3.291
Pm 1.723 0.000 0.000
Pm 0.000 3.191 3.291
Pm 1.723 -2.430 6.014
Sc 1.723 5.620 5.234
Sc 0.000 0.000 4.070
```

Properties
N(E_F) ... 13.4 states/eV/f.u.
Calculated volume ... 360.4 Å³ per cell
Magnetization ... 0.00 μB/f.u.
Symmetry ... Immm

***

(two)
Computed, not measured: a geometry-optimized Pm5Er4Sc2 structure at the PBE level of DFT.

```
11
Lattice="3.508 0.000 0.000 0.000 8.765 0.185 0.000 0.533 11.280" Properties=species:S:1:pos:R:3 pbc="T T T"
Er 1.754 7.765 10.046
Er 1.754 1.533 1.419
Er 1.754 6.709 5.130
Er 1.754 2.589 6.335
Sc 0.000 8.574 7.299
Sc 0.000 0.724 4.166
Pm 0.000 5.343 7.919
Pm 0.000 4.382 0.092
Pm 3.508 3.955 3.546
Pm 0.000 2.054 9.511
Pm 0.000 7.244 1.954
```

Properties
N(E_F) ... 17.2 states/eV/f.u.
Calculated volume ... 346.5 Å³ per cell
Magnetization ... 0.00 μB/f.u.
Symmetry ... P2/m

***

Most stable structure - (two); separation to the second - 0.150 eV/atom.